Record 1
# RbNpBr6 | the Alexandria database | PBE-GGA | relaxed
# Crystal system: monoclinic
# Formation energy without anion corrections (meV per atom): -1272
# Volume (Å³/cell): 669
data_RbNpBr6
_chemical_formula_sum 'Rb2 Np2 Br12'
_cell_length_a 8.542
_cell_length_b 11.621
_cell_length_c 7.001
_cell_angle_alpha 90.00
_cell_angle_beta 105.77
_cell_angle_gamma 90.00
_symmetry_space_group_name_H-M 'C 1 2/m 1'
_symmetry_Int_Tables_number 12
_symmetry_space_group_name_Hall '-C 2y'
loop_
_atom_site_label
_atom_site_fract_x
_atom_site_fract_y
_atom_site_fract_z
Rb1 0.000 0.000 0.000
Np1 0.000 0.500 0.500
Br1 0.133 0.337 0.769
Br2 0.228 0.000 0.624

=====

Record 2
# Rb2NpBr8 | the Alexandria database | PBE-GGA | relaxed
# Crystal system: monoclinic
# Formation energy without anion corrections (meV per atom): -1072
# Volume (Å³/cell): 809
data_Rb2NpBr8
_chemical_formula_sum 'Rb4 Np2 Br16'
_cell_length_a 22.961
_cell_length_b 5.188
_cell_length_c 7.065
_cell_angle_alpha 90.00
_cell_angle_beta 106.09
_cell_angle_gamma 90.00
_symmetry_space_group_name_H-M 'C 1 2/m 1'
_symmetry_Int_Tables_number 12
_symmetry_space_group_name_Hall '-C 2y'
loop_
_atom_site_label
_atom_site_fract_x
_atom_site_fract_y
_atom_site_fract_z
Rb1 0.182 0.000 0.187
Np1 0.000 0.500 0.500
Br1 0.023 0.000 0.736
Br2 0.069 0.500 0.241
Br3 0.115 0.500 0.752
Br4 0.218 0.000 0.714

=====

Record 3
# RbNp3Br10 | the Alexandria database | PBE-GGA | relaxed
# Crystal system: cubic
# Formation energy without anion corrections (meV per atom): -1334
# Volume (Å³/cell): 3562
data_RbNp3Br10
_chemical_formula_sum 'Rb8 Np24 Br80'
_cell_length_a 15.272
_cell_length_b 15.272
_cell_length_c 15.272
_cell_angle_alpha 90.00
_cell_angle_beta 90.00
_cell_angle_gamma 90.00
_symmetry_space_group_name_H-M 'F m -3 m'
_symmetry_Int_Tables_number 225
_symmetry_space_group_name_Hall '-F 4 2 3'
loop_
_atom_site_label
_atom_site_fract_x
_atom_site_fract_y
_atom_site_fract_z
Rb1 0.250 0.250 0.250
Np1 0.000 0.000 0.239
Br1 0.000 0.168 0.332
Br2 0.116 0.116 0.116

=====

Record 4
# Rb2NpBr8 | the Alexandria database | PBE-GGA | relaxed
# Crystal system: monoclinic
# Formation energy without anion corrections (meV per atom): -1217
# Volume (Å³/cell): 1053
data_Rb2NpBr8
_chemical_formula_sum 'Rb4 Np2 Br16'
_cell_length_a 12.001
_cell_length_b 12.119
_cell_length_c 8.273
_cell_angle_alpha 90.00
_cell_angle_beta 118.91
_cell_angle_gamma 90.00
_symmetry_space_group_name_H-M 'C 1 2/m 1'
_symmetry_Int_Tables_number 12
_symmetry_space_group_name_Hall '-C 2y'
loop_
_atom_site_label
_atom_site_fract_x
_atom_site_fract_y
_atom_site_fract_z
Rb1 0.210 0.000 0.122
Np1 0.000 0.000 0.500
Br1 0.024 0.157 0.275
Br2 0.065 0.500 0.422
Br3 0.236 0.500 0.256

=====

Record 5
# RbSrNpBr6 | the Alexandria database | PBE-GGA | relaxed
# Crystal system: trigonal
# Formation energy without anion corrections (meV per atom): -1701
# Volume (Å³/cell): 785
data_RbSrNpBr6
_chemical_formula_sum 'Rb2 Sr2 Np2 Br12'
_cell_length_a 7.8376
_cell_length_b 7.8376
_cell_length_c 14.7515
_cell_angle_alpha 90.00
_cell_angle_beta 90.00
_cell_angle_gamma 120.00
_symmetry_space_group_name_H-M 'P -3 1 c'
_symmetry_Int_Tables_number 163
_symmetry_space_group_name_Hall '-P 3 2c'
loop_
_atom_site_label
_atom_site_fract_x
_atom_site_fract_y
_atom_site_fract_z
Rb1 0.0000 0.0000 0.0000
Sr1 0.3333 0.6667 0.2500
Np1 0.3333 0.6667 0.7500
Br1 0.0159 0.3771 0.6377

=====

Record 6
# RbNpTl2Br6 | the Alexandria database | PBE-GGA | relaxed
# Crystal system: monoclinic
# Formation energy without anion corrections (meV per atom): -1242
# Volume (Å³/cell): 807
data_RbNpTl2Br6
_chemical_formula_sum 'Rb2 Np2 Tl4 Br12'
_cell_length_a 7.879
_cell_length_b 8.899
_cell_length_c 13.588
_cell_angle_alpha 90.00
_cell_angle_beta 122.08
_cell_angle_gamma 90.00
_symmetry_space_group_name_H-M 'P 1 21/c 1'
_symmetry_Int_Tables_number 14
_symmetry_space_group_name_Hall '-P 2ybc'
loop_
_atom_site_label
_atom_site_fract_x
_atom_site_fract_y
_atom_site_fract_z
Rb1 0.000 0.000 0.000
Np1 0.500 0.000 0.500
Tl1 0.201 0.068 0.722
Br1 0.152 0.165 0.460
Br2 0.251 0.733 0.407
Br3 0.413 0.087 0.272

=====

Record 7
# Rb2NpTlBr8 | the Alexandria database | PBE-GGA | relaxed
# Crystal system: triclinic
# Formation energy without anion corrections (meV per atom): -1236
# Volume (Å³/cell): 552
data_Rb2NpTlBr8
_chemical_formula_sum 'Rb2 Np1 Tl1 Br8'
_cell_length_a 7.277
_cell_length_b 7.453
_cell_length_c 10.202
_cell_angle_alpha 89.95
_cell_angle_beta 90.00
_cell_angle_gamma 85.84
_symmetry_space_group_name_H-M 'P -1'
_symmetry_Int_Tables_number 2
_symmetry_space_group_name_Hall '-P 1'
loop_
_atom_site_label
_atom_site_fract_x
_atom_site_fract_y
_atom_site_fract_z
Rb1 0.001 0.000 0.256
Np1 0.500 0.500 0.500
Tl1 0.500 0.500 0.000
Br1 0.219 0.814 0.999
Br2 0.279 0.383 0.307
Br3 0.280 0.381 0.693
Br4 0.302 0.826 0.501

=====

Record 8
# RbNpZnBr6 | the Alexandria database | PBE-GGA | relaxed
# Crystal system: monoclinic
# Formation energy without anion corrections (meV per atom): -1242
# Volume (Å³/cell): 696
data_RbNpZnBr6
_chemical_formula_sum 'Rb2 Np2 Zn2 Br12'
_cell_length_a 7.354
_cell_length_b 12.534
_cell_length_c 7.554
_cell_angle_alpha 90.00
_cell_angle_beta 90.10
_cell_angle_gamma 90.00
_symmetry_space_group_name_H-M 'C 1 2 1'
_symmetry_Int_Tables_number 5
_symmetry_space_group_name_Hall 'C 2y'
loop_
_atom_site_label
_atom_site_fract_x
_atom_site_fract_y
_atom_site_fract_z
Rb1 0.000 0.000 0.000
Np1 0.000 0.332 0.500
Zn1 0.000 0.666 0.500
Br1 0.127 0.509 0.289
Br2 0.171 0.808 0.293
Br3 0.209 0.181 0.292

=====

Record 9
# Np2S2Br | the Alexandria database | PBE-GGA | relaxed
# Crystal system: trigonal
# Formation energy without anion corrections (meV per atom): -955
# Volume (Å³/cell): 345
data_Np2S2Br
_chemical_formula_sum 'Np6 S6 Br3'
_cell_length_a 4.9688
_cell_length_b 4.9688
_cell_length_c 16.1157
_cell_angle_alpha 90.00
_cell_angle_beta 90.00
_cell_angle_gamma 120.00
_symmetry_space_group_name_H-M 'R -3 m'
_symmetry_Int_Tables_number 166
_symmetry_space_group_name_Hall '-R 3 2"'
loop_
_atom_site_label
_atom_site_fract_x
_atom_site_fract_y
_atom_site_fract_z
Np1 0.0000 0.0000 0.0902
S1 0.0000 0.0000 0.2615
Br1 0.0000 0.0000 0.5000